# 1
# Pu3Cu8Hg PBE optimized geometry
data_Pu3Cu8Hg
_chemical_formula_sum 'Pu9 Cu24 Hg3'
_cell_length_a 5.2003
_cell_length_b 5.2003
_cell_length_c 25.3477
_cell_angle_alpha 90.00
_cell_angle_beta 90.00
_cell_angle_gamma 120.00
_space_group_name_H-M_alt 'R 3 m'
_space_group_IT_number 160
_space_group_name_Hall 'R 3 -2"'
loop_
_atom_site_label
_atom_site_fract_x
_atom_site_fract_y
_atom_site_fract_z
Pu1 0.0000 0.0000 0.0000
Pu2 0.0000 0.0000 0.1256
Pu3 0.0000 0.0000 0.6262
Cu1 0.0000 0.0000 0.3125
Cu2 0.0000 0.0000 0.8137
Cu3 0.0022 0.5011 0.0639
Cu4 0.0016 0.5008 0.5618
Hg1 0.0000 0.0000 0.5002
# E_form = -0.012 eV/atom
# final energy = -228.62 eV/cell


# 2
# PuCuHg2 PBE optimized geometry
data_PuCuHg2
_chemical_formula_sum 'Pu3 Cu3 Hg6'
_cell_length_a 3.3902
_cell_length_b 3.3902
_cell_length_c 27.3138
_cell_angle_alpha 90.00
_cell_angle_beta 90.00
_cell_angle_gamma 120.00
_space_group_name_H-M_alt 'R -3 m'
_space_group_IT_number 166
_space_group_name_Hall '-R 3 2"'
loop_
_atom_site_label
_atom_site_fract_x
_atom_site_fract_y
_atom_site_fract_z
Pu1 0.0000 0.0000 0.0000
Cu1 0.0000 0.0000 0.5000
Hg1 0.0000 0.0000 0.2370
# E_form = 0.126 eV/atom
# final energy = -55.58 eV/cell


# 3
# PuCuHg2 PBE optimized geometry
data_PuCuHg2
_chemical_formula_sum 'Pu1 Cu1 Hg2'
_cell_length_a 3.293
_cell_length_b 3.293
_cell_length_c 7.821
_cell_angle_alpha 90.00
_cell_angle_beta 90.00
_cell_angle_gamma 90.00
_space_group_name_H-M_alt 'P 4/m m m'
_space_group_IT_number 123
_space_group_name_Hall '-P 4 2'
loop_
_atom_site_label
_atom_site_fract_x
_atom_site_fract_y
_atom_site_fract_z
Pu1 0.000 0.000 0.000
Cu1 0.000 0.000 0.500
Hg1 0.500 0.500 0.295
# E_form = -0.003 eV/atom
# final energy = -19.04 eV/cell


# 4
# PuCu5Hg PBE optimized geometry
data_PuCu5Hg
_chemical_formula_sum 'Pu4 Cu20 Hg4'
_cell_length_a 8.347
_cell_length_b 5.072
_cell_length_c 10.509
_cell_angle_alpha 90.00
_cell_angle_beta 90.00
_cell_angle_gamma 90.00
_space_group_name_H-M_alt 'P n m a'
_space_group_IT_number 62
_space_group_name_Hall '-P 2ac 2n'
loop_
_atom_site_label
_atom_site_fract_x
_atom_site_fract_y
_atom_site_fract_z
Pu1 0.245 0.250 0.064
Cu1 0.054 0.750 0.110
Cu2 0.067 0.000 0.314
Cu3 0.083 0.250 0.517
Cu4 0.186 0.250 0.742
Hg1 0.136 0.750 0.865
# E_form = -0.031 eV/atom
# final energy = -141.33 eV/cell


# 5
# PuCuHg2 PBE optimized geometry
data_PuCuHg2
_chemical_formula_sum 'Pu3 Cu3 Hg6'
_cell_length_a 3.3759
_cell_length_b 3.3759
_cell_length_c 27.4293
_cell_angle_alpha 90.00
_cell_angle_beta 90.00
_cell_angle_gamma 120.00
_space_group_name_H-M_alt 'R 3 m'
_space_group_IT_number 160
_space_group_name_Hall 'R 3 -2"'
loop_
_atom_site_label
_atom_site_fract_x
_atom_site_fract_y
_atom_site_fract_z
Pu1 0.0000 0.0000 0.0000
Cu1 0.0000 0.0000 0.8328
Hg1 0.0000 0.0000 0.2368
Hg2 0.0000 0.0000 0.4291
# E_form = 0.127 eV/atom
# final energy = -55.57 eV/cell


# 6
# Pu2CuHg PBE optimized geometry
data_Pu2CuHg
_chemical_formula_sum 'Pu8 Cu4 Hg4'
_cell_length_a 7.295
_cell_length_b 7.295
_cell_length_c 7.295
_cell_angle_alpha 90.00
_cell_angle_beta 90.00
_cell_angle_gamma 90.00
_space_group_name_H-M_alt 'F m -3 m'
_space_group_IT_number 225
_space_group_name_Hall '-F 4 2 3'
loop_
_atom_site_label
_atom_site_fract_x
_atom_site_fract_y
_atom_site_fract_z
Pu1 0.250 0.250 0.250
Cu1 0.000 0.000 0.000
Hg1 0.000 0.000 0.500
# E_form = 0.088 eV/atom
# relative energy among the computed polymorphs = 0.088 eV per atom
# final energy = -130.83 eV/cell


# 7
# Pu2Cu2Hg PBE optimized geometry
data_Pu2Cu2Hg
_chemical_formula_sum 'Pu4 Cu4 Hg2'
_cell_length_a 4.390
_cell_length_b 5.698
_cell_length_c 8.588
_cell_angle_alpha 90.00
_cell_angle_beta 90.00
_cell_angle_gamma 90.00
_space_group_name_H-M_alt 'I m m m'
_space_group_IT_number 71
_space_group_name_Hall '-I 2 2'
loop_
_atom_site_label
_atom_site_fract_x
_atom_site_fract_y
_atom_site_fract_z
Pu1 0.000 0.000 0.201
Cu1 0.000 0.285 0.500
Hg1 0.000 0.500 0.000
# E_form = 0.001 eV/atom
# final energy = -74.31 eV/cell


# 8
# Pu2CuHg PBE optimized geometry
data_Pu2CuHg
_chemical_formula_sum 'Pu6 Cu3 Hg3'
_cell_length_a 3.2097
_cell_length_b 3.2097
_cell_length_c 33.3815
_cell_angle_alpha 90.00
_cell_angle_beta 90.00
_cell_angle_gamma 120.00
_space_group_name_H-M_alt 'R -3 m'
_space_group_IT_number 166
_space_group_name_Hall '-R 3 2"'
loop_
_atom_site_label
_atom_site_fract_x
_atom_site_fract_y
_atom_site_fract_z
Pu1 0.0000 0.0000 0.0971
Cu1 0.0000 0.0000 0.5000
Hg1 0.0000 0.0000 0.0000
# E_form = 0.341 eV/atom
# relative energy among the computed polymorphs = 0.341 eV per atom
# final energy = -95.09 eV/cell


# 9
# PuScCuHg PBE optimized geometry
data_PuScCuHg
_chemical_formula_sum 'Pu4 Sc4 Cu4 Hg4'
_cell_length_a 7.093
_cell_length_b 7.093
_cell_length_c 7.093
_cell_angle_alpha 90.00
_cell_angle_beta 90.00
_cell_angle_gamma 90.00
_space_group_name_H-M_alt 'F -4 3 m'
_space_group_IT_number 216
_space_group_name_Hall 'F -4 2 3'
loop_
_atom_site_label
_atom_site_fract_x
_atom_site_fract_y
_atom_site_fract_z
Pu1 0.000 0.000 0.000
Sc1 0.000 0.000 0.500
Cu1 0.250 0.250 0.750
Hg1 0.250 0.250 0.250
# E_form = -0.048 eV/atom
# final energy = -101.01 eV/cell


# 10
# Pu3CuHg3Se8 PBE optimized geometry
data_Pu3CuHg3Se8
_chemical_formula_sum 'Pu6 Cu2 Hg6 Se16'
_cell_length_a 14.350
_cell_length_b 7.808
_cell_length_c 10.581
_cell_angle_alpha 90.00
_cell_angle_beta 117.28
_cell_angle_gamma 90.00
_space_group_name_H-M_alt 'C 1 2/m 1'
_space_group_IT_number 12
_space_group_name_Hall '-C 2y'
loop_
_atom_site_label
_atom_site_fract_x
_atom_site_fract_y
_atom_site_fract_z
Pu1 0.000 0.000 0.000
Pu2 0.250 0.250 0.000
Cu1 0.000 0.500 0.000
Hg1 0.000 0.500 0.500
Hg2 0.250 0.250 0.500
Se1 0.028 0.285 0.856
Se2 0.217 0.000 0.804
Se3 0.219 0.000 0.167
# formation energy (no corrections) = -904 kJ/mol of formula units
# final energy = -170.48 eV/cell


# 11
# SmPuCuHg PBE optimized geometry
data_SmPuCuHg
_chemical_formula_sum 'Sm4 Pu4 Cu4 Hg4'
_cell_length_a 7.351
_cell_length_b 7.351
_cell_length_c 7.351
_cell_angle_alpha 90.00
_cell_angle_beta 90.00
_cell_angle_gamma 90.00
_space_group_name_H-M_alt 'F -4 3 m'
_space_group_IT_number 216
_space_group_name_Hall 'F -4 2 3'
loop_
_atom_site_label
_atom_site_fract_x
_atom_site_fract_y
_atom_site_fract_z
Sm1 0.000 0.000 0.000
Pu1 0.000 0.000 0.500
Cu1 0.250 0.250 0.250
Hg1 0.250 0.250 0.750
# E_form = -0.080 eV/atom
# final energy = -95.08 eV/cell


# 12
# PuCuSnHg PBE optimized geometry
data_PuCuSnHg
_chemical_formula_sum 'Pu4 Cu4 Sn4 Hg4'
_cell_length_a 7.119
_cell_length_b 7.119
_cell_length_c 7.119
_cell_angle_alpha 90.00
_cell_angle_beta 90.00
_cell_angle_gamma 90.00
_space_group_name_H-M_alt 'F -4 3 m'
_space_group_IT_number 216
_space_group_name_Hall 'F -4 2 3'
loop_
_atom_site_label
_atom_site_fract_x
_atom_site_fract_y
_atom_site_fract_z
Pu1 0.000 0.000 0.000
Cu1 0.000 0.000 0.500
Sn1 0.250 0.250 0.250
Hg1 0.250 0.250 0.750
# E_form = -0.015 eV/atom
# final energy = -91.18 eV/cell